Record 1
Entry from the Alexandria database: a geometry-optimized PmSmDy4 structure (PBE-GGA).

a = 5.0391 Å, b = 7.9937 Å, c = 11.3090 Å
α = 148.06°, β = 89.94°, γ = 108.42°
Fractional coordinates of all 6 atoms:
Pm 0.0000 0.0000 0.0000
Sm 0.5000 0.0000 0.5000
Dy 0.8336 0.6676 0.5011
Dy 0.1664 0.3324 0.4989
Dy 0.3334 0.6671 0.0010
Dy 0.6666 0.3328 0.9989

Results
total moment: 0.0 μB per cell
Fermi-level density of states: 8.147 states/eV per cell
calculated formation energy: 0.105 eV per formula unit



Record 2
Entry from the Alexandria database: a geometry-optimized Sr2SbIrN structure (PBE-GGA).

a = 5.7910 Å, b = 5.7910 Å, c = 3.7330 Å
α = 90.00°, β = 90.00°, γ = 90.00°
Fractional coordinates of all 5 atoms:
Sb 0.5000 0.5000 0.5000
N 0.0000 0.0000 0.0000
Ir 0.0000 0.0000 0.5000
Sr 0.0000 0.5000 0.0000
Sr 0.5000 0.0000 0.0000

Results
total moment: 0.0 μB per cell
uncorrected formation energy: -0.673 eV/atom
Fermi-level density of states: 2.392 states/eV per cell